{
  "formula": "KCd8",
  "functional": "PBE",
  "state": "optimized geometry",
  "lattice_angstrom": [[9.707, 2.538, 6.369], [5.204, 0.048, 10.226], [4.262, -4.778, -0.593]],
  "species": ["Cd", "Cd", "Cd", "Cd", "Cd", "Cd", "Cd", "Cd", "Cd", "Cd", "Cd", "Cd", "Cd", "Cd", "Cd", "Cd", "K", "K"],
  "fractional_positions": [[0.710, 0.705, 0.071], [0.540, 0.545, 0.179], [0.473, 0.315, 0.302], [0.911, 0.302, 0.315], [0.935, 0.777, 0.339], [0.302, 0.911, 0.473], [0.705, 0.710, 0.514], [0.179, 0.736, 0.540], [0.736, 0.179, 0.545], [0.514, 0.071, 0.705], [0.071, 0.514, 0.710], [0.545, 0.540, 0.736], [0.948, 0.339, 0.777], [0.315, 0.473, 0.911], [0.339, 0.948, 0.935], [0.777, 0.935, 0.948], [0.000, 0.000, 0.000], [0.250, 0.250, 0.250]],
  "e_tot_ev_per_atom": -0.93,
  "crystal_system": "orthorhombic",
  "space_group": "Fddd (70)"
}

---

{
  "formula": "K2Cd3",
  "functional": "PBE",
  "state": "optimized geometry",
  "lattice_angstrom": [[-2.516, 3.044, 5.668], [2.516, -3.044, 5.668], [2.516, 3.044, -5.668]],
  "species": ["Cd", "Cd", "Cd", "K", "K"],
  "fractional_positions": [[0.500, 0.500, 0.000], [0.247, 0.000, 0.247], [0.753, 0.000, 0.753], [0.803, 0.303, 0.500], [0.197, 0.697, 0.500]],
  "e_tot_ev_per_atom": -1.08,
  "crystal_system": "orthorhombic",
  "space_group": "Immm (71)"
}

---

{
  "formula": "K6Cd23",
  "functional": "PBE",
  "state": "optimized geometry",
  "lattice_angstrom": [[-7.300, -4.888, 5.267], [-4.874, 4.777, 7.639], [-9.810, 2.733, -1.100]],
  "species": ["Cd", "Cd", "Cd", "Cd", "Cd", "Cd", "Cd", "Cd", "Cd", "Cd", "Cd", "Cd", "Cd", "Cd", "Cd", "Cd", "Cd", "Cd", "Cd", "Cd", "Cd", "Cd", "Cd", "K", "K", "K", "K", "K", "K"],
  "fractional_positions": [[0.000, 0.000, 0.000], [0.500, 0.000, 0.000], [0.000, 0.500, 0.000], [0.500, 0.500, 0.000], [0.328, 0.328, 0.017], [0.119, 0.119, 0.119], [0.643, 0.119, 0.119], [0.119, 0.643, 0.119], [0.328, 0.017, 0.328], [0.017, 0.328, 0.328], [0.328, 0.328, 0.328], [0.881, 0.881, 0.357], [0.000, 0.000, 0.500], [0.500, 0.000, 0.500], [0.000, 0.500, 0.500], [0.119, 0.119, 0.643], [0.672, 0.672, 0.672], [0.983, 0.672, 0.672], [0.672, 0.983, 0.672], [0.881, 0.357, 0.881], [0.357, 0.881, 0.881], [0.881, 0.881, 0.881], [0.672, 0.672, 0.983], [0.706, 0.294, 0.294], [0.294, 0.706, 0.294], [0.706, 0.706, 0.294], [0.706, 0.294, 0.706], [0.294, 0.706, 0.706], [0.294, 0.294, 0.706]],
  "e_tot_ev_per_atom": -1.02,
  "crystal_system": "cubic",
  "space_group": "Fm-3m (225)"
}